No. 1
Compound: PrH5Rh
Source: Alexandria
Functional: PBE
Structure: relaxed

As for the space group: Immm (71). The value obtained for the total energy is -32.14 eV per formula unit.

```
PrH5Rh
1.0
-0.035 2.076 4.137
0.267 -2.769 3.700
6.911 0.092 3.751
H Rh Pr
10 2 2
Cartesian
1.692 2.099 5.075 H
4.181 -1.376 4.695 H
6.566 -1.576 8.551 H
4.032 1.023 4.910 H
2.961 0.776 6.892 H
5.450 -2.700 6.513 H
3.109 -1.623 6.677 H
6.415 0.823 8.769 H
0.576 0.975 3.036 H
0.727 -1.424 2.818 H
3.455 0.046 1.875 Rh
0.000 0.000 0.000 Rh
1.843 -0.324 4.856 Pr
5.299 -0.277 6.731 Pr
```


No. 2
Compound: PrHRh2
Source: Alexandria
Functional: PBE
Structure: relaxed

The value obtained for the density of states at the Fermi level is 1.308 states/eV/atom. As for the space group: R-3m (166). The value obtained for the total energy is -21.48 eV per formula unit.

```
PrHRh2
1.0
-0.683 2.673 1.281
-2.534 1.474 -0.814
-4.899 -2.197 5.586
Rh H Pr
2 1 1
Cartesian
-3.556 -0.941 3.680 Rh
-4.560 2.891 2.373 Rh
-4.058 0.975 3.026 H
0.000 0.000 0.000 Pr
```